A plane-wave DFT calculation with GGA-PBE was carried out for an optimized crystal structure of ThO2.

Cell: 5.6186 5.6186 5.6186 Å, 90.00 90.00 90.00°
Sites, in units of the cell vectors:
Th1 0.0000 0.0000 0.0000
Th2 0.0000 0.5000 0.5000
Th3 0.5000 0.0000 0.5000
Th4 0.5000 0.5000 0.0000
O1 0.2500 0.2500 0.2500
O2 0.2500 0.2500 0.7500
O3 0.2500 0.7500 0.2500
O4 0.2500 0.7500 0.7500
O5 0.7500 0.2500 0.2500
O6 0.7500 0.2500 0.7500
O7 0.7500 0.7500 0.2500
O8 0.7500 0.7500 0.7500

Values from the calculation:
The value obtained for the total moment is 0.00 μB per formula unit. The calculation puts the uncorrected energy at -116.15 eV per cell. Its formation energy from raw total energies is -11.701 eV/f.u. As for the space-group type: No. 225.